Entry 1:
CdSnSe2: relaxed, GGA-PBE.

Summary:
As for the symmetry: R-3m (166). The value obtained for the total energy is -12.17 eV per formula unit. As for the uncorrected formation energy: -0.070 eV/atom.

Lattice parameters (Å, degrees): 8.571 8.571 8.571 27.82 27.82 27.82
Fractional coordinates of all 4 atoms:
Sn 0.000 0.000 0.000
Se 0.892 0.892 0.892
Se 0.108 0.108 0.108
Cd 0.500 0.500 0.500

Entry 2:
CsTh2TeO8: relaxed, GGA-PBE.

Summary:
As for the symmetry: P-1 (2). The value obtained for the total energy is -86.11 eV per formula unit. As for the uncorrected formation energy: -2.301 eV/atom.

Lattice parameters (Å, degrees): 5.612 5.284 7.483 70.70 96.50 103.98
Last column: magnetic moment on the atom in μB.
Fractional coordinates of all 12 atoms:
Cs 0.000 0.000 0.500  0.00
Th 0.556 0.371 0.789  -0.01
Th 0.444 0.629 0.211  -0.01
Te 0.000 0.000 0.000  0.00
O 0.062 0.714 0.226  0.00
O 0.734 0.716 0.926  0.00
O 0.731 0.062 0.112  0.00
O 0.938 0.286 0.774  0.00
O 0.266 0.284 0.074  0.00
O 0.269 0.938 0.888  0.00
O 0.470 0.689 0.512  0.41
O 0.530 0.311 0.488  0.41

Entry 3:
SrAsIBr2: relaxed, GGA-PBE.

Summary:
As for the offset from the most stable computed form: 0.0 meV per atom. As for the symmetry: P4/mmm (123). The value obtained for the total energy is -13.25 eV per formula unit. As for the uncorrected formation energy: -0.405 eV/atom.

Lattice parameters (Å, degrees): 5.666 5.666 9.442 90.00 90.00 90.00
Last column: magnetic moment on the atom in μB.
Fractional coordinates of all 5 atoms:
I 0.500 0.500 0.500  -0.16
Sr 0.000 0.000 0.000  0.00
As 0.000 0.000 0.500  1.02
Br 0.000 0.500 0.000  0.01
Br 0.500 0.000 0.000  0.01

Entry 4:
LuHgH: relaxed, GGA-PBE.

Summary:
As for the offset from the most stable computed form: 59.1 meV per atom. As for the symmetry: P-6m2 (187). The value obtained for the total energy is -9.33 eV per formula unit.

Lattice parameters (Å, degrees): 4.664 3.660 3.660 120.00 90.00 90.00
Fractional coordinates of all 3 atoms:
H 0.167 0.333 0.667
Lu 0.167 0.000 0.000
Hg 0.667 0.667 0.333

Entry 5:
PmTm3Co2: relaxed, GGA-PBE.

Summary:
As for the symmetry: C2/m (12). The value obtained for the total energy is -32.72 eV per formula unit. The energy relative to the elements is -0.35 eV per formula unit.

Lattice parameters (Å, degrees): 4.912 8.955 7.996 124.72 90.00 105.92
Fractional coordinates of all 12 atoms:
Pm 0.868 0.736 0.956
Pm 0.132 0.264 0.044
Tm 0.319 0.637 0.632
Tm 0.932 0.864 0.594
Tm 0.631 0.262 0.753
Tm 0.369 0.738 0.247
Tm 0.068 0.136 0.406
Tm 0.681 0.363 0.368
Co 0.505 0.010 0.859
Co 0.495 0.990 0.141
Co 0.776 0.551 0.184
Co 0.224 0.449 0.816

Entry 6:
AcAs2Ru: relaxed, GGA-PBE.

Summary:
As for the offset from the most stable computed form: 626.9 meV per atom. As for the symmetry: P4/mmm (123). The value obtained for the total energy is -23.46 eV per formula unit. The energy relative to the elements is -0.78 eV per formula unit.

Lattice parameters (Å, degrees): 3.380 3.380 7.241 90.00 90.00 90.00
Fractional coordinates of all 4 atoms:
Ru 0.500 0.500 0.000
Ac 0.500 0.500 0.500
As 0.000 0.000 0.810
As 0.000 0.000 0.190

Entry 7:
BaLiGaF6: relaxed, GGA-PBE.

Summary:
As for the symmetry: P312 (149). The value obtained for the total energy is -46.66 eV per formula unit. As for the uncorrected formation energy: -3.174 eV/atom.

Lattice parameters (Å, degrees): 5.326 5.326 5.572 90.00 90.00 59.99
Fractional coordinates of all 9 atoms:
Ba 0.000 0.000 0.000
Li 0.667 0.667 0.500
Ga 0.333 0.333 0.500
F 0.020 0.372 0.301
F 0.372 0.020 0.699
F 0.608 0.372 0.699
F 0.020 0.609 0.699
F 0.372 0.608 0.301
F 0.608 0.020 0.301

Entry 8:
BeAlH2I: relaxed, GGA-PBE.

Summary:
As for the symmetry: P4/mmm (123). The value obtained for the total energy is -12.58 eV per formula unit.

Lattice parameters (Å, degrees): 3.861 5.160 3.861 90.00 90.00 90.00
Fractional coordinates of all 5 atoms:
I 0.500 0.500 0.500
Be 0.000 0.000 0.000
Al 0.000 0.500 0.000
H 0.000 0.000 0.500
H 0.500 0.000 0.000

Magnetization list, top to bottom, in μB/f.u.: 0.00 0.97 2.06 0.00 0.00 0.02 0.00 0.00